No. 1
A relaxed PrPaTe2Se crystal. Source: the Alexandria database, functional PBE.

```
PrPaTe2Se
1.0
4.4382 0.0000 0.0000
0.0000 4.4382 0.0000
0.0000 0.0000 14.9916
Pr Pa Te Se
2 2 4 2
Direct
0.2500 0.2500 0.0870
0.7500 0.7500 0.9130
0.2500 0.2500 0.6271
0.7500 0.7500 0.3729
0.2500 0.2500 0.3024
0.2500 0.2500 0.8686
0.7500 0.7500 0.1314
0.7500 0.7500 0.6976
0.2500 0.7500 0.5000
0.7500 0.2500 0.5000
```

Output
Formation energy without anion corrections ... -1.19 eV per atom
SG ... No. 129
Magnetization ... 1.96 μB/cell
VASP energy ... -5.997 eV/atom

***

No. 2
A relaxed AcPr5Te4 crystal. Source: the Alexandria database, functional PBE.

```
AcPr5Te4
1.0
9.5186 0.0000 0.0000
0.0000 10.3934 0.0000
0.0000 0.0000 7.8945
Ac Pr Te
2 10 8
Direct
0.2500 0.2500 0.1462
0.7500 0.7500 0.8538
0.0460 0.0548 0.7579
0.0460 0.4452 0.7579
0.2500 0.7500 0.7722
0.4540 0.0548 0.7579
0.4540 0.4452 0.7579
0.5460 0.5548 0.2421
0.5460 0.9452 0.2421
0.7500 0.2500 0.2278
0.9540 0.5548 0.2421
0.9540 0.9452 0.2421
0.0162 0.2500 0.4500
0.2500 0.5495 0.0597
0.2500 0.9505 0.0597
0.4838 0.2500 0.4500
0.5162 0.7500 0.5500
0.7500 0.0495 0.9403
0.7500 0.4505 0.9403
0.9838 0.7500 0.5500
```

Output
Formation energy without anion corrections ... -0.86 eV per atom
SG ... No. 59
Magnetization ... 0.00 μB/cell
VASP energy ... -4.920 eV/atom

***

No. 3
A relaxed OsClO crystal. Source: the Alexandria database, functional PBE.

```
OsClO
1.0
5.9661 0.0000 0.0000
-2.9831 5.1668 0.0000
0.0000 0.0000 5.6677
Os Cl O
3 3 3
Direct
0.1880 0.0632 0.0000
0.8752 0.8120 0.3333
0.9368 0.1248 0.6667
0.0078 0.5719 0.5582
0.4281 0.4358 0.2249
0.5642 0.9922 0.8916
0.0370 0.7145 0.0813
0.2855 0.3225 0.7479
0.6775 0.9630 0.4146
```

Output
Formation energy without anion corrections ... -0.14 eV per atom
SG ... No. 145
Magnetization ... 0.00 μB/cell
VASP energy ... -6.148 eV/atom

***

No. 4
A relaxed Zr2CoBr crystal. Source: the Alexandria database, functional PBE.

```
Zr2CoBr
1.0
3.1539 -3.7397 0.0000
3.1539 3.7397 0.0000
-0.6778 0.0000 3.1181
Zr Co Br
2 1 1
Direct
0.0000 0.5000 0.0000
0.5000 0.0000 0.0000
0.0000 0.0000 0.5000
0.5000 0.5000 0.5000
```

Output
Formation energy without anion corrections ... -0.04 eV per atom
Polymorph energy (0 for the lowest one) ... 0.424 eV per atom
SG ... No. 12
Magnetization ... 0.02 μB/cell
VASP energy ... -6.508 eV/atom